The following is a DFT calculation (GGA-PBE) of an optimized crystal structure of MoRuCl2.

Values from the calculation:
Symmetry: Cmmm
Spin magnetization (μB/cell): 2.90
ρ (g/cm3): 6.517
Formation energy (no corrections) (eV per atom): 0.65

Structure (POSCAR):
```
MoRuCl2
1.0
3.0864 -0.0034 0.0000
-1.7366 2.5515 0.0000
0.0000 0.0000 8.6756
Cl Ru Mo
2 1 1
Cartesian
0.0000 0.0000 0.1494 Cl
0.0000 0.0000 4.1884 Cl
0.6749 1.2741 6.5067 Ru
0.6749 1.2741 2.1689 Mo
```